First-principles (GGA-PBE) data for a geometry-optimized Ce2RuPbAu structure, as listed in Alexandria via LeMat-Bulk.

Cell lengths 5.013, 6.971, 7.937 Å; angles 110.96, 90.00, 90.00 degrees
Fractional coordinates of all 10 atoms:
Pb  0.250  0.697  0.357
Pb  0.750  0.303  0.643
Au  0.750  0.429  0.280
Au  0.250  0.571  0.720
Ce  0.750  0.713  0.061
Ce  0.250  0.178  0.350
Ce  0.750  0.822  0.650
Ce  0.250  0.287  0.939
Ru  0.250  0.969  0.954
Ru  0.750  0.031  0.046

## Properties
* formation enthalpy at 0 K: -0.4307 eV/atom